No. 1
Density functional theory data (GGA-PBE) for a relaxed structure of Ho2TmMg2.

extended XYZ file:
```
10
Lattice="1.8476 -13.8524 0.0000 1.8476 13.8524 0.0000 0.0000 0.0000 5.3888" Properties=species:S:1:pos:R:3 pbc="T T T"
Ho 1.8476 12.6449 4.0416
Ho 1.8476 7.2867 4.0416
Ho 1.8476 -7.2867 1.3472
Ho 1.8476 -12.6449 1.3472
Tm 1.8476 9.6219 1.3472
Tm 1.8476 -9.6219 4.0416
Mg 1.8476 3.8700 1.3472
Mg 1.8476 1.5216 4.0416
Mg 1.8476 -1.5216 1.3472
Mg 1.8476 -3.8700 4.0416
```

Results
Electronic total energy ... -3.42 eV/atom
Energy relative to the lowest polymorph listed for this composition ... 0.000 eV per atom



No. 2
Density functional theory data (GGA-PBE) for a relaxed structure of HoTm4Mg7.

extended XYZ file:
```
12
Lattice="5.7166 -2.7992 0.0000 5.7166 2.7992 0.0000 -5.0520 0.0000 10.3436" Properties=species:S:1:pos:R:3 pbc="T T T"
Ho 0.0000 0.0000 0.0000
Tm -2.0699 0.0000 8.0476
Tm 1.4758 0.0000 7.0441
Tm 4.9053 0.0000 3.2994
Tm 8.4510 0.0000 2.2960
Mg -1.0567 0.0000 5.0943
Mg 1.3143 0.0000 3.3447
Mg 3.0154 0.0000 0.7956
Mg 5.7166 0.0000 0.0000
Mg 3.3657 0.0000 9.5480
Mg 5.0668 0.0000 6.9989
Mg 7.4379 0.0000 5.2493
```

Results
Electronic total energy ... -2.63 eV/atom
Energy relative to the lowest polymorph listed for this composition ... 0.186 eV per atom



No. 3
Density functional theory data (GGA-PBE) for a relaxed structure of HoTm4Mg3.

extended XYZ file:
```
8
Lattice="3.8171 0.0000 0.0000 0.0000 5.3477 0.0000 0.0000 0.0000 10.8136" Properties=species:S:1:pos:R:3 pbc="T T T"
Ho 0.0000 0.0000 0.0000
Tm 1.9086 0.0000 2.8194
Tm 1.9086 0.0000 7.9942
Tm 1.9086 2.6739 0.0000
Tm 1.9086 2.6739 5.4068
Mg 0.0000 0.0000 5.4068
Mg 0.0000 2.6739 2.7202
Mg 0.0000 2.6739 8.0935
```

Results
Electronic total energy ... -3.40 eV/atom



No. 4
Density functional theory data (GGA-PBE) for a relaxed structure of Ho3Tm4Mg4.

extended XYZ file:
```
11
Lattice="-2.6963 3.4159 8.6089 2.6963 -3.4159 8.6089 2.6963 3.4159 -8.6089" Properties=species:S:1:pos:R:3 pbc="T T T"
Ho 0.0000 0.0000 0.0000
Ho 2.6963 0.0000 6.7492
Ho 0.0000 3.4159 1.8597
Tm 2.6963 1.6445 -3.2081
Tm 2.6963 1.6445 3.2081
Tm 0.0000 1.7714 5.4008
Tm 0.0000 1.7714 11.8170
Mg 0.0000 0.0000 2.9218
Mg 2.6963 1.9185 0.0000
Mg 0.0000 1.4974 8.6089
Mg 0.0000 0.0000 14.2960
```

Results
Electronic total energy ... -3.33 eV/atom



No. 5
Density functional theory data (GGA-PBE) for a relaxed structure of Ho2Tm5Mg.

extended XYZ file:
```
16
Lattice="3.5137 0.0000 0.0000 -0.0033 8.5013 0.0000 -1.7505 -2.3628 15.9459" Properties=species:S:1:pos:R:3 pbc="T T T"
Ho -0.0005 2.4995 0.6529
Ho 0.0007 1.6547 7.3346
Ho 1.7593 4.4838 8.6114
Ho 1.7605 3.6389 15.2931
Tm 0.0026 4.4566 5.4998
Tm 0.0029 -1.1416 9.3894
Tm 0.0006 4.3345 11.8483
Tm 0.0024 1.1707 13.5209
Tm 0.0047 -2.0228 14.4572
Tm 1.7553 8.1613 1.4887
Tm 1.7576 4.9677 2.4250
Tm 1.7594 1.8040 4.0977
Tm 1.7571 7.2800 6.5566
Tm 1.7574 1.6819 10.4461
Mg 0.0011 7.4118 3.9536
Mg 1.7589 -1.2734 11.9923
```

Results
Electronic total energy ... -4.08 eV/atom
Energy relative to the lowest polymorph listed for this composition ... 0.034 eV per atom



No. 6
Density functional theory data (GGA-PBE) for a relaxed structure of Ho4Tm4Mg.

extended XYZ file:
```
9
Lattice="-5.1975 5.1975 2.4816 5.1975 -5.1975 2.4816 5.1975 5.1975 -2.4816" Properties=species:S:1:pos:R:3 pbc="T T T"
Ho 1.7385 1.7385 0.0000
Ho 3.4589 -3.4589 2.4816
Ho -3.4589 3.4589 2.4816
Ho 3.4589 3.4589 2.4816
Tm 5.1975 1.7255 0.0000
Tm 1.7255 5.1975 0.0000
Tm 3.4720 0.0000 2.4816
Tm 0.0000 3.4720 2.4816
Mg 0.0000 0.0000 2.4816
```

Results
Electronic total energy ... -4.17 eV/atom



No. 7
Density functional theory data (GGA-PBE) for a relaxed structure of HoTm2Mg.

extended XYZ file:
```
4
Lattice="1.7200 0.9931 11.3475 -1.7200 0.9931 11.3475 0.0000 -1.9861 11.3475" Properties=species:S:1:pos:R:3 pbc="T T T"
Ho 0.0000 0.0000 0.0000
Tm 0.0000 0.0000 14.2023
Tm 0.0000 0.0000 19.8498
Mg 0.0000 0.0000 5.6764
```

Results
Electronic total energy ... -3.73 eV/atom
Energy relative to the lowest polymorph listed for this composition ... 0.071 eV per atom



No. 8
Density functional theory data (GGA-PBE) for a relaxed structure of Ho7Tm12Mg.

extended XYZ file:
```
20
Lattice="5.8612 3.3840 5.2602 -5.8612 3.3840 5.2602 0.0000 -6.7679 5.2602" Properties=species:S:1:pos:R:3 pbc="T T T"
Ho 0.0000 0.0000 0.0000
Ho -1.4485 -1.3575 4.6085
Ho -0.4514 1.9332 4.6085
Ho 1.8999 -0.5757 4.6085
Ho -1.8999 0.5756 11.1720
Ho 0.4514 -1.9332 11.1720
Ho 1.4485 1.3575 11.1720
Tm -2.1196 -4.7352 6.5654
Tm -5.1606 -0.5320 9.2151
Tm -2.9998 0.9334 7.0608
Tm -2.3082 -2.1313 8.7197
Tm 0.6916 -3.0646 7.0608
Tm -3.0410 4.2032 6.5654
Tm 3.0410 -4.2032 9.2151
Tm -0.6916 3.0646 8.7197
Tm 2.3082 2.1312 7.0608
Tm 2.9998 -0.9334 8.7197
Tm 5.1606 0.5320 6.5654
Tm 2.1196 4.7352 9.2151
Mg 0.0000 0.0000 7.8902
```

Results
Electronic total energy ... -4.14 eV/atom
Energy relative to the lowest polymorph listed for this composition ... 0.000 eV per atom



No. 9
Density functional theory data (GGA-PBE) for a relaxed structure of Ho4Tm2Mg.

extended XYZ file:
```
14
Lattice="5.9024 0.0000 0.0000 0.0000 6.4968 0.0000 -2.9506 0.0000 10.9664" Properties=species:S:1:pos:R:3 pbc="T T T"
Ho -0.9723 1.6242 4.0895
Ho -1.8595 1.6242 10.2957
Ho 1.4915 0.0165 2.3255
Ho 1.4915 3.2319 2.3255
Ho 1.4604 3.2649 8.6408
Ho 1.4604 6.4803 8.6408
Ho 4.8114 4.8726 0.6706
Ho 3.9241 4.8726 6.8769
Tm -1.1189 4.8726 10.1208
Tm 0.9013 4.8726 5.4292
Tm 2.0505 1.6242 5.5372
Tm 4.0707 1.6242 0.8455
Mg -1.0725 1.6242 7.2717
Mg 4.0243 4.8726 3.6946
```

Results
Electronic total energy ... -4.01 eV/atom
Energy relative to the lowest polymorph listed for this composition ... 0.000 eV per atom



No. 10
Density functional theory data (GGA-PBE) for a relaxed structure of Ho8TmMg2.

extended XYZ file:
```
11
Lattice="4.3431 -7.6931 0.0000 4.3431 7.6931 0.0000 -2.4088 0.0000 5.0394" Properties=species:S:1:pos:R:3 pbc="T T T"
Ho 0.2964 1.7113 3.1719
Ho 4.3431 4.4381 0.0000
Ho 0.2964 -1.7113 3.1719
Ho 3.0270 0.0000 1.0192
Ho 3.2505 0.0000 4.0202
Ho 5.9810 1.7113 1.8675
Ho 4.3431 -4.4381 0.0000
Ho 5.9810 -1.7113 1.8675
Tm 0.0000 0.0000 0.0000
Mg 3.1387 2.9739 2.5197
Mg 3.1387 -2.9739 2.5197
```

Results
Electronic total energy ... -3.88 eV/atom
Energy relative to the lowest polymorph listed for this composition ... 0.131 eV per atom



No. 11
Density functional theory data (GGA-PBE) for a relaxed structure of HoTm2Mg.

extended XYZ file:
```
4
Lattice="1.6886 0.9749 12.1244 -1.6886 0.9749 12.1244 0.0000 -1.9498 12.1244" Properties=species:S:1:pos:R:3 pbc="T T T"
Ho 0.0000 0.0000 0.0000
Tm 0.0000 0.0000 3.3832
Tm 0.0000 0.0000 32.9899
Mg 0.0000 0.0000 18.1866
```

Results
Electronic total energy ... -3.53 eV/atom
Energy relative to the lowest polymorph listed for this composition ... 0.271 eV per atom



No. 12
Density functional theory data (GGA-PBE) for a relaxed structure of HoTm3Mg3.

extended XYZ file:
```
14
Lattice="9.0222 0.0000 0.0000 0.0000 5.4626 0.0000 -4.5093 0.0000 7.8201" Properties=species:S:1:pos:R:3 pbc="T T T"
Ho 0.0050 1.3657 2.6065
Ho 4.5079 4.0970 5.2136
Tm -1.2922 4.0970 6.2888
Tm 2.5427 1.3657 0.3511
Tm 0.6819 1.3657 5.9345
Tm 3.8310 4.0970 1.8856
Tm 1.9703 4.0970 7.4690
Tm 5.8051 1.3657 1.5313
Mg -2.5877 1.3657 4.8153
Mg 0.6174 4.0970 0.7410
Mg 1.3050 4.0970 4.0767
Mg 3.2079 1.3657 3.7435
Mg 3.8955 1.3657 7.0792
Mg 7.1006 4.0970 3.0049
```

Results
Electronic total energy ... -3.24 eV/atom